# 1
Ba2GaAg3Sn4 GGA-PBE optimized geometry; crystal system = tetragonal; formation energy from the elements = -406 meV per atom; DOS(E_F) = 0.3863 states/eV per atom; space-group type = P-4m2 (115)
1.0
4.814 0.000 0.000
0.000 4.814 0.000
0.000 0.000 11.842
Ba Ga Ag Sn
2 1 3 4
Direct
0.000 0.500 0.243 Ba
0.500 0.000 0.757 Ba
0.500 0.500 0.000 Ga
0.000 0.000 0.000 Ag
0.000 0.500 0.635 Ag
0.500 0.000 0.365 Ag
0.000 0.000 0.500 Sn
0.000 0.500 0.871 Sn
0.500 0.000 0.129 Sn
0.500 0.500 0.500 Sn

# 2
Ba2Ga4AgSn3 GGA-PBE optimized geometry; crystal system = tetragonal; formation energy from the elements = -371 meV per atom; DOS(E_F) = 0.4741 states/eV per atom; space-group type = P-4m2 (115)
1.0
4.948 0.000 0.000
0.000 4.948 0.000
0.000 0.000 11.018
Ba Ga Ag Sn
2 4 1 3
Direct
0.000 0.500 0.248 Ba
0.500 0.000 0.752 Ba
0.000 0.000 0.000 Ga
0.000 0.500 0.622 Ga
0.500 0.000 0.378 Ga
0.500 0.500 0.000 Ga
0.000 0.000 0.500 Ag
0.000 0.500 0.873 Sn
0.500 0.000 0.127 Sn
0.500 0.500 0.500 Sn